one) Crystalline CaTlCd2 at its relaxed geometry. Source: Alexandria via LeMat-Bulk, functional GGA-PBEsol.

Values from the calculation:
SG   Cm
Crystal system   monoclinic

a b c (Å): 3.6957 5.4483 5.6037
angles (deg): 107.06 90.00 109.83
Atoms (fractional coordinates):
Tl: 0.4882 0.9765 0.4939
Ca: 0.2503 0.5007 0.7440
Cd: 0.0124 0.0249 0.0334
Cd: 0.7490 0.4980 0.2287

two) Crystalline CaTlCd2 at its relaxed geometry. Source: Alexandria via LeMat-Bulk, functional GGA-PBEsol.

Values from the calculation:
SG   F-43m
Crystal system   cubic

a b c (Å): 5.1150 5.1150 5.1150
angles (deg): 90.03 119.98 119.98
Atoms (fractional coordinates):
Tl: 0.0000 0.5000 0.5000
Ca: 0.5000 0.7500 0.2500
Cd: 0.0000 0.0000 0.0000
Cd: 0.5000 0.2500 0.7500

Which structure is the least stable? The one labeled one).

one) Crystalline KCr2Mo at its relaxed geometry. Source: Alexandria via LeMat-Bulk, functional GGA-PBEsol.

Values from the calculation:
SG   Pmmm
Crystal system   orthorhombic

a b c (Å): 3.0216 4.3897 5.0897
angles (deg): 90.00 90.00 90.00
Atoms (fractional coordinates):
Cr: 0.0000 0.0000 0.0000
Cr: 0.5000 0.0000 0.5000
K: 0.5000 0.5000 0.0000
Mo: 0.0000 0.5000 0.5000

two) Crystalline KCr2Mo at its relaxed geometry. Source: Alexandria via LeMat-Bulk, functional GGA-PBEsol.

Values from the calculation:
SG   P4/mmm
Crystal system   tetragonal

a b c (Å): 2.5230 2.5230 10.3629
angles (deg): 90.00 90.00 90.00
Atoms (fractional coordinates):
Cr: 0.0000 0.0000 0.7067
Cr: 0.0000 0.0000 0.2933
K: 0.5000 0.5000 0.0000
Mo: 0.5000 0.5000 0.5000

Which structure is the least stable? The one labeled one).

one) Crystalline BaTcPt2 at its relaxed geometry. Source: Alexandria via LeMat-Bulk, functional GGA-PBEsol.

Values from the calculation:
SG   I-4m2
Crystal system   tetragonal

a b c (Å): 4.3078 4.3078 5.1529
angles (deg): 114.71 114.71 90.00
Atoms (fractional coordinates):
Ba: 0.2500 0.7500 0.5000
Pt: 0.0000 0.0000 0.0000
Pt: 0.7500 0.2500 0.5000
Tc: 0.5000 0.5000 0.0000

two) Crystalline BaTcPt2 at its relaxed geometry. Source: Alexandria via LeMat-Bulk, functional GGA-PBEsol.

Values from the calculation:
SG   F-43m
Crystal system   cubic

a b c (Å): 4.7667 4.7667 4.7667
angles (deg): 60.00 60.00 60.00
Atoms (fractional coordinates):
Ba: 0.5000 0.5000 0.5000
Pt: 0.0000 0.0000 0.0000
Pt: 0.7500 0.7500 0.7500
Tc: 0.2500 0.2500 0.2500

Which structure is the least stable? The one labeled two).